# CaYAs2Br PBE optimized geometry
# energy relative to the lowest polymorph listed for this composition = 0.0 kJ/mol of atoms
# formation energy (no corrections) = -0.67 eV per atom
data_CaYAs2Br
_chemical_formula_sum 'Ca1 Y1 As2 Br1'
_cell_length_a 5.402
_cell_length_b 5.402
_cell_length_c 5.552
_cell_angle_alpha 90.00
_cell_angle_beta 90.00
_cell_angle_gamma 90.00
_space_group_name_H-M_alt 'P 4/m m m'
_space_group_IT_number 123
_space_group_name_Hall '-P 4 2'
loop_
_atom_site_label
_atom_site_fract_x
_atom_site_fract_y
_atom_site_fract_z
Ca1 0.000 0.000 0.000
Y1 0.500 0.500 0.500
As1 0.000 0.500 0.500
Br1 0.500 0.500 0.000